No. 1
Below is crystalline CsSmW2O8 at its relaxed geometry, with properties calculated at the GGA-PBEsol level.

E_form (uncorrected)   -2532 meV per atom
E_tot   -106.0 eV/f.u.
Fermi-level density of states   0.000 states/eV/f.u.

Cell: 10.7636 10.7177 7.5602 Å, 90.00 130.16 90.00°
Space group C2/c (No. 15)
One atom of each set of equivalent atoms:
Cs 0.0000 0.1983 0.2500 [4 per cell]
Sm 0.0000 0.2277 0.7500 [4 per cell]
W 0.1926 0.4956 0.7258 [8 per cell]
O 0.0229 0.3936 0.9717 [8 per cell]
O 0.1329 0.0788 0.6979 [8 per cell]
O 0.1861 0.4355 0.4375 [8 per cell]
O 0.2276 0.1578 0.1333 [8 per cell]

=====

No. 2
Below is crystalline CsSnO3 at its relaxed geometry, with properties calculated at the GGA-PBEsol level.

E_form (uncorrected)   -1187 meV per atom
E_tot   -26.9 eV/f.u.
Fermi-level density of states   3.745 states/eV/f.u.

Cell: 4.2067 4.2067 4.2067 Å, 90.00 90.00 90.00°
Space group Pm-3m (No. 221)
One atom of each set of equivalent atoms:
Cs 0.0000 0.0000 0.0000 [1 per cell]
Sn 0.5000 0.5000 0.5000 [1 per cell]
O 0.0000 0.5000 0.5000 [3 per cell]

=====

No. 3
Below is crystalline Cs4SnO4 at its relaxed geometry, with properties calculated at the GGA-PBEsol level.

E_form (uncorrected)   -1492 meV per atom
E_tot   -42.5 eV/f.u.
Fermi-level density of states   0.000 states/eV/f.u.

Cell: 11.6491 7.2763 11.6001 Å, 90.00 111.27 90.00°
Space group P2_1/c (No. 14)
One atom of each set of equivalent atoms:
Cs 0.0604 0.0857 0.2005 [4 per cell]
Cs 0.1578 0.6114 0.0857 [4 per cell]
Cs 0.3687 0.6621 0.8909 [4 per cell]
Cs 0.4260 0.1788 0.7945 [4 per cell]
Sn 0.2410 0.1278 0.9924 [4 per cell]
O 0.0787 0.2367 0.9728 [4 per cell]
O 0.2176 0.5104 0.3380 [4 per cell]
O 0.3042 0.5295 0.6430 [4 per cell]
O 0.3623 0.1704 0.5149 [4 per cell]